! Mn2IrPbO8 (PBE+U, relaxed); values from VASP
! calculated total energy	-6.64	eV/atom
&SYSTEM
  ibrav = 0, nat = 12, ntyp = 4
/
ATOMIC_SPECIES
Mn 54.94 Mn.upf
Ir 192.22 Ir.upf
Pb 207.20 Pb.upf
O 16.00 O.upf
CELL_PARAMETERS angstrom
4.618 0.000 0.000
0.000 6.515 0.000
-0.023 0.000 4.623
ATOMIC_POSITIONS crystal
Mn 0.000 0.242 0.000
Mn 0.000 0.758 0.000
Ir 0.500 0.000 0.500
Pb 0.500 0.500 0.500
O 0.176 0.500 0.826
O 0.203 0.000 0.798
O 0.297 0.225 0.299
O 0.297 0.775 0.299
O 0.703 0.225 0.701
O 0.703 0.775 0.701
O 0.797 0.000 0.202
O 0.824 0.500 0.174